This record from Alexandria describes a crystal of InHgRu3 relaxed with PBEsol. The functional is SCAN.

Calculated values
VASP energy   -195.538 eV per cell
Space-group type   No. 221
ρ   9.0 g cm⁻³
DFT formation energy   2099 meV per atom

Geometry as POSCAR:
```
InHgRu3
1.0
-2.953 2.695 2.752
0.028 -3.452 3.411
3.851 2.091 2.084
Ru Hg In
3 1 1
Cartesian
0.014 -1.726 1.705 Ru
1.926 1.046 1.042 Ru
-1.476 1.347 1.376 Ru
0.000 0.000 0.000 Hg
0.464 0.667 4.124 In
```

This record from Alexandria describes a crystal of LaCuAg relaxed with PBEsol. The functional is SCAN.

Calculated values
VASP energy   -90.427 eV per cell
Space-group type   No. 187
ρ   7.9 g cm⁻³
DFT formation energy   -252 meV per atom

Geometry as POSCAR:
```
LaCuAg
1.0
-3.095 -2.088 0.193
1.757 -2.879 -2.973
0.688 -0.614 4.400
Ag Cu La
1 1 1
Cartesian
0.000 0.000 0.000 Ag
1.045 -1.369 1.943 Cu
-0.147 -3.168 -0.419 La
```

This record from Alexandria describes a crystal of KSb2Se4 relaxed with PBEsol. The functional is SCAN.

Calculated values
Formation energy (no corrections)   -0.534 eV/atom
VASP energy   -333.802 eV per cell
Space-group type   No. 2
ρ   5.1 g cm⁻³

Geometry as POSCAR:
```
KSb2Se4
1.0
6.308 0.230 -0.032
1.819 6.805 -0.097
1.057 1.386 9.194
K Sb Se
2 4 8
Cartesian
2.058 2.124 5.108 K
7.126 6.296 3.958 K
1.392 1.360 0.347 Sb
7.792 7.061 8.719 Sb
4.127 4.383 1.416 Sb
5.057 4.037 7.650 Sb
1.645 3.679 1.890 Se
7.539 4.741 7.177 Se
4.984 3.372 3.752 Se
4.199 5.048 5.314 Se
5.153 1.625 6.623 Se
4.031 6.795 2.443 Se
5.246 1.336 1.142 Se
3.937 7.084 7.924 Se
```

This record from Alexandria describes a crystal of TlTc2As relaxed with PBEsol. The functional is SCAN.

Calculated values
Energy above the lowest structure with this stoichiometry   0 meV/atom
VASP energy   -161.362 eV per cell
Space-group type   No. 160
ρ   11.6 g cm⁻³
DFT formation energy   327 meV per atom

Geometry as POSCAR:
```
TlTc2As
1.0
2.981 0.000 0.000
1.491 2.582 0.000
1.491 0.861 8.871
As Tl Tc
1 1 2
Cartesian
1.491 0.861 1.853 As
2.981 1.721 4.529 Tl
4.472 2.582 0.023 Tc
4.472 2.582 6.902 Tc
```

This record from Alexandria describes a crystal of Mg14AlNiO16 relaxed with PBEsol. The functional is SCAN.

Calculated values
Formation energy (no corrections)   -2.875 eV/atom
VASP energy   -285.262 eV per cell
Space-group type   No. 47
ρ   3.8 g cm⁻³

Geometry as POSCAR:
```
Mg14AlNiO16
1.0
4.174 0.000 0.000
0.000 8.345 0.000
0.000 0.000 8.577
Mg Al Ni O
14 1 1 16
Cartesian
0.000 4.173 0.000 Mg
0.000 4.173 4.289 Mg
2.087 0.000 2.190 Mg
2.087 0.000 6.387 Mg
2.087 4.173 2.160 Mg
2.087 4.173 6.418 Mg
2.087 2.085 0.000 Mg
2.087 2.051 4.289 Mg
2.087 6.261 0.000 Mg
2.087 6.294 4.289 Mg
0.000 2.051 2.181 Mg
0.000 2.051 6.396 Mg
0.000 6.294 2.181 Mg
0.000 6.294 6.396 Mg
0.000 0.000 0.000 Al
0.000 0.000 4.289 Ni
0.000 2.001 0.000 O
0.000 2.111 4.289 O
0.000 6.344 0.000 O
0.000 6.234 4.289 O
2.087 2.078 2.142 O
2.087 2.078 6.435 O
2.087 6.267 2.142 O
2.087 6.267 6.435 O
2.087 0.000 0.000 O
2.087 0.000 4.289 O
2.087 4.173 0.000 O
2.087 4.173 4.289 O
0.000 0.000 1.813 O
0.000 0.000 6.764 O
0.000 4.173 2.118 O
0.000 4.173 6.459 O
```

This record from Alexandria describes a crystal of BeCo2Tc relaxed with PBEsol. The functional is SCAN.

Calculated values
Energy above the lowest structure with this stoichiometry   171 meV/atom
VASP energy   -73.752 eV per cell
Space-group type   No. 47
ρ   8.9 g cm⁻³
DFT formation energy   68 meV per atom

Geometry as POSCAR:
```
BeCo2Tc
1.0
-2.490 0.232 0.420
0.532 -0.398 3.375
0.527 4.773 0.481
Be Co Tc
1 2 1
Cartesian
-0.716 2.304 2.137 Be
0.387 3.511 0.354 Co
0.139 1.262 0.127 Co
-0.979 -0.083 1.897 Tc
```